First-principles (GGA-PBE) data for a relaxed structure of CaMg2Tl2Cd2, as listed in Alexandria via LeMat-Bulk.

```
data_CaMg2Tl2Cd2
_chemical_formula_sum 'Ca3 Mg6 Tl6 Cd6'
_space_group_name_H-M_alt 'R -3 m'
_space_group_IT_number 166
_space_group_name_Hall '-R 3 2"'
_cell_length_a 5.1473
_cell_length_b 5.1473
_cell_length_c 23.8119
_cell_angle_alpha 90.00
_cell_angle_beta 90.00
_cell_angle_gamma 120.00
loop_
_atom_site_label
_atom_site_type_symbol
_atom_site_fract_x
_atom_site_fract_y
_atom_site_fract_z
_atom_site_occupancy
Ca1 Ca 0.0000 0.0000 0.0000 1
Mg1 Mg 0.0000 0.0000 0.1404 1
Tl1 Tl 0.0000 0.0000 0.4201 1
Cd1 Cd 0.0000 0.0000 0.2682 1
```

Output
The value obtained for the formation energy is -0.098 eV/atom. The calculation puts the volume at 546.4 Å³/cell. The value obtained for the calculated total energy is -1.777 eV/atom. For the magnetization, the calculation gives 0.0 μB per cell.

First-principles (GGA-PBE) data for a relaxed structure of Ag5Br2F2, as listed in Alexandria via LeMat-Bulk.

```
data_Ag5Br2F2
_chemical_formula_sum 'Ag10 Br4 F4'
_space_group_name_H-M_alt 'C 1 2/m 1'
_space_group_IT_number 12
_space_group_name_Hall '-C 2y'
_cell_length_a 10.692
_cell_length_b 3.533
_cell_length_c 9.753
_cell_angle_alpha 90.00
_cell_angle_beta 95.56
_cell_angle_gamma 90.00
loop_
_atom_site_label
_atom_site_type_symbol
_atom_site_fract_x
_atom_site_fract_y
_atom_site_fract_z
_atom_site_occupancy
Ag1 Ag 0.000 0.000 0.000 1
Ag2 Ag 0.130 0.000 0.441 1
Ag3 Ag 0.249 0.500 0.114 1
Br1 Br 0.121 0.500 0.663 1
F1 F 0.106 0.000 0.202 1
```

Output
The raw formation energy comes out at -0.47 eV per atom. The calculation puts the volume at 366.7 Å³/cell. The value obtained for the calculated total energy is -2.837 eV/atom. For the magnetization, the calculation gives 0.0 μB per cell.

First-principles (GGA-PBE) data for a relaxed structure of Mg2InAs, as listed in Alexandria via LeMat-Bulk.

```
data_Mg2InAs
_chemical_formula_sum 'Mg2 In1 As1'
_space_group_name_H-M_alt 'P m m m'
_space_group_IT_number 47
_space_group_name_Hall '-P 2 2'
_cell_length_a 3.914
_cell_length_b 4.618
_cell_length_c 4.804
_cell_angle_alpha 90.00
_cell_angle_beta 90.00
_cell_angle_gamma 90.00
loop_
_atom_site_label
_atom_site_type_symbol
_atom_site_fract_x
_atom_site_fract_y
_atom_site_fract_z
_atom_site_occupancy
Mg1 Mg 0.000 0.000 0.000 1
Mg2 Mg 0.000 0.500 0.500 1
In1 In 0.500 0.000 0.500 1
As1 As 0.500 0.500 0.000 1
```

Output
The value obtained for the formation energy is -0.164 eV/atom. The calculation puts the volume at 86.8 Å³/cell. Its energy above the most stable polymorph in this dataset is 0.113 eV per atom. The value obtained for the calculated total energy is -2.808 eV/atom. For the magnetization, the calculation gives 0.0 μB per cell.

First-principles (GGA-PBE) data for a relaxed structure of Cs4NaCr3Br12, as listed in Alexandria via LeMat-Bulk.

```
data_Cs4NaCr3Br12
_chemical_formula_sum 'Cs8 Na2 Cr6 Br24'
_space_group_name_H-M_alt 'I m -3 m'
_space_group_IT_number 229
_space_group_name_Hall '-I 4 2 3'
_cell_length_a 10.886
_cell_length_b 10.886
_cell_length_c 10.886
_cell_angle_alpha 90.00
_cell_angle_beta 90.00
_cell_angle_gamma 90.00
loop_
_atom_site_label
_atom_site_type_symbol
_atom_site_fract_x
_atom_site_fract_y
_atom_site_fract_z
_atom_site_occupancy
Cs1 Cs 0.250 0.250 0.250 1
Na1 Na 0.000 0.000 0.000 1
Cr1 Cr 0.000 0.000 0.500 1
Br1 Br 0.000 0.000 0.270 1
Br2 Br 0.000 0.250 0.500 1
```

Output
The raw formation energy comes out at -1.24 eV per atom. The calculation puts the volume at 1290.0 Å³/cell. The value obtained for the calculated total energy is -3.924 eV/atom. For the magnetization, the calculation gives 22.0 μB per cell.

First-principles (GGA-PBE) data for a relaxed structure of In7Re6, as listed in Alexandria via LeMat-Bulk.

```
data_In7Re6
_chemical_formula_sum 'In21 Re18'
_space_group_name_H-M_alt 'R -3 m'
_space_group_IT_number 166
_space_group_name_Hall '-R 3 2"'
_cell_length_a 5.2772
_cell_length_b 5.2772
_cell_length_c 31.1230
_cell_angle_alpha 90.00
_cell_angle_beta 90.00
_cell_angle_gamma 120.00
loop_
_atom_site_label
_atom_site_type_symbol
_atom_site_fract_x
_atom_site_fract_y
_atom_site_fract_z
_atom_site_occupancy
In1 In 0.0000 0.0000 0.0000 1
In2 In 0.0013 0.5006 0.4189 1
Re1 Re 0.0000 0.0000 0.1668 1
Re2 Re 0.0000 0.0000 0.3272 1
Re3 Re 0.0000 0.0000 0.4623 1
```

Output
The value obtained for the formation energy is 1.179 eV/atom. The calculation puts the volume at 750.6 Å³/cell. The value obtained for the calculated total energy is -6.041 eV/atom. For the magnetization, the calculation gives 0.0 μB per cell.

First-principles (GGA-PBE) data for a relaxed structure of CaEuGaCu, as listed in Alexandria via LeMat-Bulk.

```
data_CaEuGaCu
_chemical_formula_sum 'Ca4 Eu4 Ga4 Cu4'
_space_group_name_H-M_alt 'F -4 3 m'
_space_group_IT_number 216
_space_group_name_Hall 'F -4 2 3'
_cell_length_a 7.319
_cell_length_b 7.319
_cell_length_c 7.319
_cell_angle_alpha 90.00
_cell_angle_beta 90.00
_cell_angle_gamma 90.00
loop_
_atom_site_label
_atom_site_type_symbol
_atom_site_fract_x
_atom_site_fract_y
_atom_site_fract_z
_atom_site_occupancy
Ca1 Ca 0.000 0.000 0.000 1
Eu1 Eu 0.000 0.000 0.500 1
Ga1 Ga 0.250 0.250 0.250 1
Cu1 Cu 0.250 0.250 0.750 1
```

Output
The value obtained for the formation energy is -0.241 eV/atom. The calculation puts the volume at 392.1 Å³/cell. The value obtained for the calculated total energy is -5.090 eV/atom. For the magnetization, the calculation gives 28.8 μB per cell.

First-principles (GGA-PBE) data for a relaxed structure of AlTc2F, as listed in Alexandria via LeMat-Bulk.

```
data_AlTc2F
_chemical_formula_sum 'Al4 Tc8 F4'
_space_group_name_H-M_alt 'I -4 2 d'
_space_group_IT_number 122
_space_group_name_Hall 'I -4 2bw'
_cell_length_a 7.199
_cell_length_b 7.199
_cell_length_c 4.486
_cell_angle_alpha 90.00
_cell_angle_beta 90.00
_cell_angle_gamma 90.00
loop_
_atom_site_label
_atom_site_type_symbol
_atom_site_fract_x
_atom_site_fract_y
_atom_site_fract_z
_atom_site_occupancy
Al1 Al 0.000 0.000 0.000 1
Tc1 Tc 0.184 0.250 0.625 1
F1 F 0.000 0.000 0.500 1
```

Output
The raw formation energy comes out at 0.15 eV per atom. The calculation puts the volume at 232.5 Å³/cell. Its energy above the most stable polymorph in this dataset is 0.000 eV per atom. The value obtained for the calculated total energy is -6.437 eV/atom. For the magnetization, the calculation gives 0.0 μB per cell.

First-principles (GGA-PBE) data for a relaxed structure of LaHf2BeN4, as listed in Alexandria via LeMat-Bulk.

```
data_LaHf2BeN4
_chemical_formula_sum 'La4 Hf8 Be4 N16'
_space_group_name_H-M_alt 'C m c m'
_space_group_IT_number 63
_space_group_name_Hall '-C 2c 2'
_cell_length_a 3.256
_cell_length_b 10.909
_cell_length_c 10.800
_cell_angle_alpha 90.00
_cell_angle_beta 90.00
_cell_angle_gamma 90.00
loop_
_atom_site_label
_atom_site_type_symbol
_atom_site_fract_x
_atom_site_fract_y
_atom_site_fract_z
_atom_site_occupancy
La1 La 0.000 0.100 0.250 1
Hf1 Hf 0.000 0.368 0.052 1
Be1 Be 0.000 0.175 0.750 1
N1 N 0.000 0.000 0.000 1
N2 N 0.000 0.262 0.618 1
N3 N 0.000 0.412 0.250 1
```

Output
The raw formation energy comes out at -1.62 eV per atom. The calculation puts the volume at 383.5 Å³/cell. The value obtained for the calculated total energy is -9.352 eV/atom. For the magnetization, the calculation gives 0.0 μB per cell.

First-principles (GGA-PBE) data for a relaxed structure of La2PrHo5Tm, as listed in Alexandria via LeMat-Bulk.

```
data_La2PrHo5Tm
_chemical_formula_sum 'La8 Pr4 Ho20 Tm4'
_space_group_name_H-M_alt 'I 4/m c m'
_space_group_IT_number 140
_space_group_name_Hall '-I 4 2c'
_cell_length_a 8.696
_cell_length_b 8.696
_cell_length_c 15.737
_cell_angle_alpha 90.00
_cell_angle_beta 90.00
_cell_angle_gamma 90.00
loop_
_atom_site_label
_atom_site_type_symbol
_atom_site_fract_x
_atom_site_fract_y
_atom_site_fract_z
_atom_site_occupancy
La1 La 0.117 0.383 0.000 1
Pr1 Pr 0.000 0.000 0.250 1
Ho1 Ho 0.000 0.000 0.000 1
Ho2 Ho 0.215 0.285 0.359 1
Tm1 Tm 0.000 0.500 0.250 1
```

Output
The value obtained for the formation energy is 0.259 eV/atom. The calculation puts the volume at 1190.1 Å³/cell. The value obtained for the calculated total energy is -4.407 eV/atom. For the magnetization, the calculation gives 0.0 μB per cell.

First-principles (GGA-PBE) data for a relaxed structure of BaGe3Cl, as listed in Alexandria via LeMat-Bulk.

```
data_BaGe3Cl
_chemical_formula_sum 'Ba1 Ge3 Cl1'
_space_group_name_H-M_alt 'P m -3 m'
_space_group_IT_number 221
_space_group_name_Hall '-P 4 2 3'
_cell_length_a 5.196
_cell_length_b 5.196
_cell_length_c 5.196
_cell_angle_alpha 90.00
_cell_angle_beta 90.00
_cell_angle_gamma 90.00
loop_
_atom_site_label
_atom_site_type_symbol
_atom_site_fract_x
_atom_site_fract_y
_atom_site_fract_z
_atom_site_occupancy
Ba1 Ba 0.000 0.000 0.000 1
Ge1 Ge 0.000 0.500 0.500 1
Cl1 Cl 0.500 0.500 0.500 1
```

Output
The raw formation energy comes out at 0.18 eV per atom. The calculation puts the volume at 140.3 Å³/cell. Its energy above the most stable polymorph in this dataset is 0.000 eV per atom. The value obtained for the calculated total energy is -3.347 eV/atom. For the magnetization, the calculation gives 0.0 μB per cell.